# 1
The following is a DFT calculation (PBE) of a geometry-optimized Tb6Ni2Sn structure.

abc: 8.449 8.449 8.449
angles: 113.24 109.38 105.87
Fractional positions:
Ni (0.122, 0.122, 0.000)
Ni (0.878, 0.878, 0.000)
Ni (0.650, 0.500, 0.150)
Ni (0.350, 0.500, 0.850)
Sn (0.500, 0.000, 0.500)
Sn (0.000, 0.500, 0.500)
Tb (0.817, 0.208, 0.025)
Tb (0.324, 0.515, 0.191)
Tb (0.676, 0.867, 0.191)
Tb (0.564, 0.267, 0.297)
Tb (0.030, 0.733, 0.297)
Tb (0.183, 0.208, 0.392)
Tb (0.817, 0.792, 0.608)
Tb (0.970, 0.267, 0.703)
Tb (0.436, 0.733, 0.703)
Tb (0.324, 0.133, 0.809)
Tb (0.676, 0.485, 0.809)
Tb (0.183, 0.792, 0.975)

## Properties
- Volume: 462.32 Å³/cell
- Mass density: 8.5 g cm⁻³


# 2
The following is a DFT calculation (PBE) of a geometry-optimized Gd2DyAl3FeCu2 structure.

abc: 3.844 7.181 7.181
angles: 120.15 90.00 90.00
Fractional positions:
Al (0.500, 0.236, 0.236)
Al (0.500, 0.999, 0.764)
Al (0.500, 0.764, 0.999)
Cu (0.500, 0.666, 0.335)
Cu (0.500, 0.335, 0.666)
Dy (0.000, 0.585, 0.585)
Fe (0.000, 0.999, 0.999)
Gd (0.000, 0.417, 0.000)
Gd (0.000, 0.000, 0.417)

## Properties
- Volume: 171.42 Å³/cell
- Mass density: 7.2 g cm⁻³


# 3
The following is a DFT calculation (PBE) of a geometry-optimized HgPbSeO structure.

abc: 5.391 5.391 7.536
angles: 90.00 90.00 90.00
Fractional positions:
Hg (0.750, 0.750, 0.256)
Hg (0.250, 0.250, 0.744)
O (0.250, 0.250, 0.439)
O (0.750, 0.750, 0.561)
Pb (0.750, 0.250, 0.000)
Pb (0.250, 0.750, 0.000)
Se (0.250, 0.250, 0.210)
Se (0.750, 0.750, 0.790)

## Properties
- Volume: 219.02 Å³/cell
- Mass density: 7.6 g cm⁻³


# 4
The following is a DFT calculation (PBE) of a geometry-optimized CsGdNiTe3 structure.

abc: 10.031 4.366 10.826
angles: 90.00 113.24 90.00
Fractional positions:
Cs (0.272, 0.750, 0.227)
Cs (0.728, 0.250, 0.773)
Gd (0.822, 0.750, 0.361)
Gd (0.178, 0.250, 0.639)
Ni (0.598, 0.250, 0.123)
Ni (0.402, 0.750, 0.877)
Te (0.664, 0.750, 0.043)
Te (0.029, 0.250, 0.332)
Te (0.606, 0.250, 0.360)
Te (0.394, 0.750, 0.640)
Te (0.971, 0.750, 0.668)
Te (0.336, 0.250, 0.957)

## Properties
- Volume: 435.62 Å³/cell
- Mass density: 5.6 g cm⁻³


# 5
The following is a DFT calculation (PBE) of a geometry-optimized PrCoSb2 structure.

abc: 4.382 4.382 9.952
angles: 90.00 90.00 90.00
Fractional positions:
Co (0.000, 0.000, 0.500)
Co (0.500, 0.500, 0.500)
Pr (0.500, 0.000, 0.259)
Pr (0.000, 0.500, 0.741)
Sb (0.000, 0.000, 0.000)
Sb (0.500, 0.500, 0.000)
Sb (0.000, 0.500, 0.368)
Sb (0.500, 0.000, 0.632)

## Properties
- Volume: 191.08 Å³/cell
- Mass density: 7.7 g cm⁻³


# 6
The following is a DFT calculation (PBE) of a geometry-optimized Zr2FeNi structure.

abc: 5.300 5.300 5.118
angles: 101.41 101.41 103.45
Fractional positions:
Fe (0.502, 0.005, 0.980)
Fe (0.005, 0.502, 0.980)
Ni (0.687, 0.687, 0.645)
Ni (0.155, 0.155, 0.648)
Zr (0.532, 0.532, 0.085)
Zr (0.030, 0.030, 0.096)
Zr (0.631, 0.148, 0.522)
Zr (0.148, 0.631, 0.522)

## Properties
- Volume: 132.50 Å³/cell
- Mass density: 7.4 g cm⁻³
- Energy of formation: -6.33 kcal/mol of atoms


What calculated total energy values result from the calculations? In sequence: -93.0 -44.2 -26.0 -52.1 -45.2 -64.1 eV/cell.